No. 1
## S4IO (PBE)

Data for S4IO after structural relaxation.

Uncorrected formation energy   83 meV/atom
Space-group type   No. 15
Total moment   0.00 μB/f.u.
Calculated total energy   -3.7533 eV per atom

Cell lengths 9.171, 11.634, 11.634 Å; angles 160.28, 91.65, 91.65 degrees
Atoms (fractional coordinates):
1 S 0.182 0.986 0.837
2 S 0.810 0.205 0.733
3 S 0.318 0.663 0.514
4 S 0.690 0.767 0.295
5 S 0.310 0.233 0.705
6 S 0.682 0.337 0.486
7 S 0.190 0.795 0.267
8 S 0.818 0.014 0.163
9 I 0.250 0.630 0.870
10 I 0.750 0.370 0.130
11 O 0.750 0.721 0.779
12 O 0.250 0.279 0.221

No. 2
## SI2O (PBE)

Data for SI2O after structural relaxation.

Uncorrected formation energy   1068 meV/atom
Space-group type   No. 225
Energy relative to the lowest polymorph listed for this composition   0.260 eV per atom
Total moment   0.00 μB/f.u.
Calculated total energy   -1.9781 eV per atom

Cell lengths 4.863, 4.863, 4.863 Å; angles 60.00, 60.00, 60.00 degrees
Atoms (fractional coordinates):
1 I 0.250 0.250 0.250
2 I 0.750 0.750 0.750
3 S 0.500 0.500 0.500
4 O 0.000 0.000 0.000

No. 3
## SI2O (PBE)

Data for SI2O after structural relaxation.

Uncorrected formation energy   808 meV/atom
Space-group type   No. 122
Energy relative to the lowest polymorph listed for this composition   0.000 eV per atom
Total moment   0.00 μB/f.u.
Calculated total energy   -2.2385 eV per atom

Cell lengths 5.380, 5.380, 8.396 Å; angles 71.31, 71.31, 90.00 degrees
Atoms (fractional coordinates):
1 I 0.524 0.125 0.250
2 I 0.226 0.625 0.250
3 I 0.375 0.476 0.750
4 I 0.875 0.774 0.750
5 S 0.000 0.000 0.000
6 S 0.750 0.250 0.500
7 O 0.500 0.500 0.000
8 O 0.250 0.750 0.500

No. 4
## S2IO (PBE)

Data for S2IO after structural relaxation.

Uncorrected formation energy   1211 meV/atom
Space-group type   No. 225
Energy relative to the lowest polymorph listed for this composition   0.781 eV per atom
Total moment   0.00 μB/f.u.
Calculated total energy   -2.4794 eV per atom

Cell lengths 4.544, 4.544, 4.544 Å; angles 60.00, 60.00, 60.00 degrees
Atoms (fractional coordinates):
1 I 0.500 0.500 0.500
2 S 0.250 0.250 0.250
3 S 0.750 0.750 0.750
4 O 0.000 0.000 0.000

No. 5
## SI2O2 (PBE)

Data for SI2O2 after structural relaxation.

Uncorrected formation energy   1048 meV/atom
Space-group type   No. 123
Total moment   0.43 μB/f.u.
Calculated total energy   -2.3805 eV per atom

Cell lengths 4.899, 4.899, 3.872 Å; angles 90.00, 90.00, 90.00 degrees
Last column: magnetic moment on the atom in μB.
Atoms (fractional coordinates):
1 I 0.000 0.500 0.000  0.02
2 I 0.500 0.000 0.000  0.02
3 S 0.500 0.500 0.500  -0.02
4 O 0.000 0.000 0.000  -0.01
5 O 0.000 0.000 0.500  0.37

No. 6
## S3IO (PBE)

Data for S3IO after structural relaxation.

Uncorrected formation energy   1765 meV/atom
Space-group type   No. 221
Energy relative to the lowest polymorph listed for this composition   0.719 eV per atom
Total moment   0.00 μB/f.u.
Calculated total energy   -2.0135 eV per atom

Cell lengths 5.054, 5.054, 5.054 Å; angles 90.00, 90.00, 90.00 degrees
Atoms (fractional coordinates):
1 I 0.000 0.000 0.000
2 S 0.000 0.500 0.000
3 S 0.000 0.000 0.500
4 S 0.500 0.000 0.000
5 O 0.500 0.500 0.500

No. 7
## SbSIO2 (PBE)

Data for SbSIO2 after structural relaxation.

Uncorrected formation energy   -241 meV/atom
Space-group type   No. 123
Total moment   0.00 μB/f.u.
Calculated total energy   -4.1842 eV per atom

Cell lengths 3.969, 3.969, 6.713 Å; angles 90.00, 90.00, 90.00 degrees
Atoms (fractional coordinates):
1 I 0.000 0.000 0.500
2 Sb 0.000 0.000 0.000
3 S 0.500 0.500 0.500
4 O 0.000 0.500 0.000
5 O 0.500 0.000 0.000

No. 8
## SbSIO2 (PBE)

Data for SbSIO2 after structural relaxation.

Uncorrected formation energy   594 meV/atom
Space-group type   No. 123
Total moment   0.00 μB/f.u.
Calculated total energy   -3.3491 eV per atom

Cell lengths 4.198, 4.198, 5.242 Å; angles 90.00, 90.00, 90.00 degrees
Atoms (fractional coordinates):
1 I 0.000 0.000 0.500
2 Sb 0.500 0.500 0.500
3 S 0.000 0.000 0.000
4 O 0.000 0.500 0.000
5 O 0.500 0.000 0.000

No. 9
## ScSI2O (PBE)

Data for ScSI2O after structural relaxation.

Uncorrected formation energy   -681 meV/atom
Space-group type   No. 123
Energy relative to the lowest polymorph listed for this composition   0.000 eV per atom
Total moment   2.29 μB/f.u.
Calculated total energy   -4.3844 eV per atom

Cell lengths 6.002, 6.002, 3.855 Å; angles 90.00, 90.00, 90.00 degrees
Last column: magnetic moment on the atom in μB.
Atoms (fractional coordinates):
1 I 0.000 0.500 0.000  0.23
2 I 0.500 0.000 0.000  0.23
3 Sc 0.000 0.000 0.000  0.00
4 S 0.500 0.500 0.500  1.00
5 O 0.000 0.000 0.500  0.01

No. 10
## ScSI2O (PBE)

Data for ScSI2O after structural relaxation.

Uncorrected formation energy   -9 meV/atom
Space-group type   No. 123
Energy relative to the lowest polymorph listed for this composition   0.672 eV per atom
Total moment   1.16 μB/f.u.
Calculated total energy   -3.7129 eV per atom

Cell lengths 5.642, 5.642, 3.670 Å; angles 90.00, 90.00, 90.00 degrees
Last column: magnetic moment on the atom in μB.
Atoms (fractional coordinates):
1 I 0.000 0.500 0.000  -0.01
2 I 0.500 0.000 0.000  -0.01
3 Sc 0.500 0.500 0.500  0.75
4 S 0.000 0.000 0.000  0.06
5 O 0.000 0.000 0.500  0.00

No. 11
## SnSI2O (PBE)

Data for SnSI2O after structural relaxation.

Uncorrected formation energy   150 meV/atom
Space-group type   No. 123
Energy relative to the lowest polymorph listed for this composition   0.023 eV per atom
Total moment   2.46 μB/f.u.
Calculated total energy   -3.0874 eV per atom

Cell lengths 6.033, 6.033, 4.016 Å; angles 90.00, 90.00, 90.00 degrees
Last column: magnetic moment on the atom in μB.
Atoms (fractional coordinates):
1 I 0.000 0.500 0.000  0.22
2 I 0.500 0.000 0.000  0.22
3 S 0.500 0.500 0.500  1.15
4 Sn 0.000 0.000 0.000  -0.01
5 O 0.000 0.000 0.500  0.00

No. 12
## SnSIO2 (PBE)

Data for SnSIO2 after structural relaxation.

Uncorrected formation energy   345 meV/atom
Space-group type   No. 123
Total moment   0.00 μB/f.u.
Calculated total energy   -3.5739 eV per atom

Cell lengths 4.233, 4.233, 5.205 Å; angles 90.00, 90.00, 90.00 degrees
Atoms (fractional coordinates):
1 I 0.000 0.000 0.500
2 S 0.000 0.000 0.000
3 Sn 0.500 0.500 0.500
4 O 0.000 0.500 0.000
5 O 0.500 0.000 0.000